Model P:
Computed, not measured: OsPdSCl2 after structural relaxation at the GGA-PBE level of DFT.

Calculated values
DOS(E_F)	10.40	states/eV/f.u.
spin magnetization	0.00	μB per formula unit
V	21.3	Å³/atom

The structure in CIF format:
```
data_OsPdSCl2
_chemical_formula_sum 'Os1 Pd1 S1 Cl2'
_space_group_name_H-M_alt 'P 4/m m m'
_space_group_IT_number 123
_space_group_name_Hall '-P 4 2'
_cell_length_a 4.931
_cell_length_b 4.931
_cell_length_c 4.388
_cell_angle_alpha 90.00
_cell_angle_beta 90.00
_cell_angle_gamma 90.00
loop_
_atom_site_label
_atom_site_fract_x
_atom_site_fract_y
_atom_site_fract_z
Os1 0.000 0.000 0.000
Pd1 0.500 0.500 0.500
S1 0.000 0.000 0.500
Cl1 0.000 0.500 0.000
```

***

Model Q:
Computed, not measured: OsPdSCl2 after structural relaxation at the GGA-PBE level of DFT.

Calculated values
DOS(E_F)	4.65	states/eV/f.u.
spin magnetization	4.25	μB per formula unit
V	21.8	Å³/atom

The structure in CIF format:
```
data_OsPdSCl2
_chemical_formula_sum 'Os1 Pd1 S1 Cl2'
_space_group_name_H-M_alt 'P 4/m m m'
_space_group_IT_number 123
_space_group_name_Hall '-P 4 2'
_cell_length_a 4.745
_cell_length_b 4.745
_cell_length_c 4.836
_cell_angle_alpha 90.00
_cell_angle_beta 90.00
_cell_angle_gamma 90.00
loop_
_atom_site_label
_atom_site_fract_x
_atom_site_fract_y
_atom_site_fract_z
Os1 0.000 0.000 0.000
Pd1 0.500 0.500 0.500
S1 0.500 0.500 0.000
Cl1 0.000 0.500 0.500
```

***

It turns out model P is the most stable, with the second structure 0.633 eV/atom higher.

***

Model P:
Computed, not measured: OsPtCl2 after structural relaxation at the GGA-PBE level of DFT.

Calculated values
DOS(E_F)	2.34	states/eV/f.u.
spin magnetization	0.00	μB per formula unit
V	16.4	Å³/atom

The structure in CIF format:
```
data_OsPtCl2
_chemical_formula_sum 'Os4 Pt4 Cl8'
_space_group_name_H-M_alt 'F -4 3 m'
_space_group_IT_number 216
_space_group_name_Hall 'F -4 2 3'
_cell_length_a 6.406
_cell_length_b 6.406
_cell_length_c 6.406
_cell_angle_alpha 90.00
_cell_angle_beta 90.00
_cell_angle_gamma 90.00
loop_
_atom_site_label
_atom_site_fract_x
_atom_site_fract_y
_atom_site_fract_z
Os1 0.000 0.000 0.000
Pt1 0.250 0.250 0.250
Cl1 0.000 0.000 0.500
Cl2 0.250 0.250 0.750
```

***

Model Q:
Computed, not measured: OsPtCl2 after structural relaxation at the GGA-PBE level of DFT.

Calculated values
DOS(E_F)	5.53	states/eV/f.u.
spin magnetization	0.00	μB per formula unit
V	17.0	Å³/atom

The structure in CIF format:
```
data_OsPtCl2
_chemical_formula_sum 'Os1 Pt1 Cl2'
_space_group_name_H-M_alt 'P 4/m m m'
_space_group_IT_number 123
_space_group_name_Hall '-P 4 2'
_cell_length_a 2.929
_cell_length_b 2.929
_cell_length_c 7.932
_cell_angle_alpha 90.00
_cell_angle_beta 90.00
_cell_angle_gamma 90.00
loop_
_atom_site_label
_atom_site_fract_x
_atom_site_fract_y
_atom_site_fract_z
Os1 0.000 0.000 0.000
Pt1 0.000 0.000 0.500
Cl1 0.500 0.500 0.199
```

***

Model R:
Computed, not measured: OsPtCl2 after structural relaxation at the GGA-PBE level of DFT.

Calculated values
DOS(E_F)	4.98	states/eV/f.u.
spin magnetization	0.00	μB per formula unit
V	16.6	Å³/atom

The structure in CIF format:
```
data_OsPtCl2
_chemical_formula_sum 'Os3 Pt3 Cl6'
_space_group_name_H-M_alt 'R -3 m'
_space_group_IT_number 166
_space_group_name_Hall '-R 3 2"'
_cell_length_a 2.9445
_cell_length_b 2.9445
_cell_length_c 26.4756
_cell_angle_alpha 90.00
_cell_angle_beta 90.00
_cell_angle_gamma 120.00
loop_
_atom_site_label
_atom_site_fract_x
_atom_site_fract_y
_atom_site_fract_z
Os1 0.0000 0.0000 0.0000
Pt1 0.0000 0.0000 0.5000
Cl1 0.0000 0.0000 0.4074
```

***

Model S:
Computed, not measured: OsPtCl2 after structural relaxation at the GGA-PBE level of DFT.

Calculated values
DOS(E_F)	4.61	states/eV/f.u.
spin magnetization	2.52	μB per formula unit
V	16.9	Å³/atom

The structure in CIF format:
```
data_OsPtCl2
_chemical_formula_sum 'Os2 Pt2 Cl4'
_space_group_name_H-M_alt 'I 4/m m m'
_space_group_IT_number 139
_space_group_name_Hall '-I 4 2'
_cell_length_a 4.076
_cell_length_b 4.076
_cell_length_c 8.130
_cell_angle_alpha 90.00
_cell_angle_beta 90.00
_cell_angle_gamma 90.00
loop_
_atom_site_label
_atom_site_fract_x
_atom_site_fract_y
_atom_site_fract_z
Os1 0.000 0.000 0.000
Pt1 0.000 0.000 0.500
Cl1 0.000 0.500 0.250
```

***

It turns out model R is the most stable, with the second structure 0.347 eV/atom higher.

***

Model P:
Computed, not measured: OsPtCl2 after structural relaxation at the GGA-PBE level of DFT.

Calculated values
DOS(E_F)	4.01	states/eV/f.u.
spin magnetization	0.01	μB per formula unit
V	19.1	Å³/atom

The structure in CIF format:
```
data_OsPtCl2
_chemical_formula_sum 'Os1 Pt1 Cl2'
_space_group_name_H-M_alt 'P 4 m m'
_space_group_IT_number 99
_cell_length_a 3.026
_cell_length_b 3.026
_cell_length_c 8.325
_cell_angle_alpha 90.00
_cell_angle_beta 90.00
_cell_angle_gamma 90.00
loop_
_space_group_symop_operation_xyz
'x,y,z'
'-y,x,z'
'-x,-y,z'
'y,-x,z'
'-x,y,z'
'y,x,z'
'x,-y,z'
'-y,-x,z'
loop_
_atom_site_label
_atom_site_fract_x
_atom_site_fract_y
_atom_site_fract_z
Os1 0.000 0.000 0.000
Pt1 0.500 0.500 0.190
Cl1 0.000 0.000 0.403
Cl2 0.500 0.500 0.805
```

***

Model Q:
Computed, not measured: OsPtCl2 after structural relaxation at the GGA-PBE level of DFT.

Calculated values
DOS(E_F)	3.05	states/eV/f.u.
spin magnetization	0.00	μB per formula unit
V	16.3	Å³/atom

The structure in CIF format:
```
data_OsPtCl2
_chemical_formula_sum 'Os1 Pt1 Cl2'
_space_group_name_H-M_alt 'P m m m'
_space_group_IT_number 47
_cell_length_a 2.846
_cell_length_b 4.226
_cell_length_c 5.422
_cell_angle_alpha 90.00
_cell_angle_beta 90.00
_cell_angle_gamma 90.00
loop_
_space_group_symop_operation_xyz
'x,y,z'
'-x,-y,-z'
'-x,-y,z'
'x,y,-z'
'x,-y,-z'
'-x,y,z'
'-x,y,-z'
'x,-y,z'
loop_
_atom_site_label
_atom_site_fract_x
_atom_site_fract_y
_atom_site_fract_z
Os1 0.000 0.000 0.000
Pt1 0.500 0.000 0.500
Cl1 0.000 0.500 0.500
Cl2 0.500 0.500 0.000
```

***

Model R:
Computed, not measured: OsPtCl2 after structural relaxation at the GGA-PBE level of DFT.

Calculated values
DOS(E_F)	5.98	states/eV/f.u.
spin magnetization	0.01	μB per formula unit
V	16.2	Å³/atom

The structure in CIF format:
```
data_OsPtCl2
_chemical_formula_sum 'Os2 Pt2 Cl4'
_space_group_name_H-M_alt 'C m m m'
_space_group_IT_number 65
_space_group_name_Hall '-C 2 2'
_cell_length_a 5.802
_cell_length_b 7.732
_cell_length_c 2.888
_cell_angle_alpha 90.00
_cell_angle_beta 90.00
_cell_angle_gamma 90.00
loop_
_atom_site_label
_atom_site_fract_x
_atom_site_fract_y
_atom_site_fract_z
Os1 0.000 0.000 0.000
Pt1 0.000 0.500 0.000
Cl1 0.250 0.250 0.500
```

***

Model S:
Computed, not measured: OsPtCl2 after structural relaxation at the GGA-PBE level of DFT.

Calculated values
DOS(E_F)	3.61	states/eV/f.u.
spin magnetization	2.84	μB per formula unit
V	25.1	Å³/atom

The structure in CIF format:
```
data_OsPtCl2
_chemical_formula_sum 'Os2 Pt2 Cl4'
_space_group_name_H-M_alt 'I m m 2'
_space_group_IT_number 44
_cell_length_a 2.866
_cell_length_b 7.298
_cell_length_c 9.586
_cell_angle_alpha 90.00
_cell_angle_beta 90.00
_cell_angle_gamma 90.00
loop_
_space_group_symop_operation_xyz
'x,y,z'
'-x,-y,z'
'-x,y,z'
'x,-y,z'
'x+1/2,y+1/2,z+1/2'
'-x+1/2,-y+1/2,z+1/2'
'-x+1/2,y+1/2,z+1/2'
'x+1/2,-y+1/2,z+1/2'
loop_
_atom_site_label
_atom_site_fract_x
_atom_site_fract_y
_atom_site_fract_z
Os1 0.000 0.000 0.000
Pt1 0.000 0.500 0.720
Cl1 0.000 0.000 0.431
Cl2 0.000 0.500 0.299
```

***

It turns out model P is the most stable, with the second structure 0.190 eV/atom higher.

***

Model P:
Computed, not measured: OsPtCl2 after structural relaxation at the GGA-PBE level of DFT.

Calculated values
DOS(E_F)	4.11	states/eV/f.u.
spin magnetization	0.00	μB per formula unit
V	20.1	Å³/atom

The structure in CIF format:
```
data_OsPtCl2
_chemical_formula_sum 'Os3 Pt3 Cl6'
_space_group_name_H-M_alt 'R -3 m'
_space_group_IT_number 166
_space_group_name_Hall '-R 3 2"'
_cell_length_a 2.7920
_cell_length_b 2.7920
_cell_length_c 35.6853
_cell_angle_alpha 90.00
_cell_angle_beta 90.00
_cell_angle_gamma 120.00
loop_
_atom_site_label
_atom_site_fract_x
_atom_site_fract_y
_atom_site_fract_z
Os1 0.0000 0.0000 0.0000
Pt1 0.0000 0.0000 0.5000
Cl1 0.0000 0.0000 0.0624
```

***

Model Q:
Computed, not measured: OsPtCl2 after structural relaxation at the GGA-PBE level of DFT.

Calculated values
DOS(E_F)	4.79	states/eV/f.u.
spin magnetization	0.60	μB per formula unit
V	16.3	Å³/atom

The structure in CIF format:
```
data_OsPtCl2
_chemical_formula_sum 'Os2 Pt2 Cl4'
_space_group_name_H-M_alt 'C 1 2/m 1'
_space_group_IT_number 12
_cell_length_a 5.720
_cell_length_b 8.539
_cell_length_c 2.991
_cell_angle_alpha 90.00
_cell_angle_beta 117.00
_cell_angle_gamma 90.00
loop_
_space_group_symop_operation_xyz
'x,y,z'
'-x,-y,-z'
'-x,y,-z'
'x,-y,z'
'x+1/2,y+1/2,z'
'-x+1/2,-y+1/2,-z'
'-x+1/2,y+1/2,-z'
'x+1/2,-y+1/2,z'
loop_
_atom_site_label
_atom_site_fract_x
_atom_site_fract_y
_atom_site_fract_z
Os1 0.000 0.000 0.000
Pt1 0.000 0.500 0.000
Cl1 0.250 0.250 0.000
```

***

Model R:
Computed, not measured: OsPtCl2 after structural relaxation at the GGA-PBE level of DFT.

Calculated values
DOS(E_F)	4.05	states/eV/f.u.
spin magnetization	0.00	μB per formula unit
V	19.6	Å³/atom

The structure in CIF format:
```
data_OsPtCl2
_chemical_formula_sum 'Os3 Pt3 Cl6'
_space_group_name_H-M_alt 'R 3 m'
_space_group_IT_number 160
_space_group_name_Hall 'R 3 -2"'
_cell_length_a 3.1642
_cell_length_b 3.1642
_cell_length_c 27.1639
_cell_angle_alpha 90.00
_cell_angle_beta 90.00
_cell_angle_gamma 120.00
loop_
_atom_site_label
_atom_site_fract_x
_atom_site_fract_y
_atom_site_fract_z
Os1 0.0000 0.0000 0.0000
Pt1 0.0000 0.0000 0.2654
Cl1 0.0000 0.0000 0.5325
Cl2 0.0000 0.0000 0.7329
```

***

Model S:
Computed, not measured: OsPtCl2 after structural relaxation at the GGA-PBE level of DFT.

Calculated values
DOS(E_F)	4.63	states/eV/f.u.
spin magnetization	0.33	μB per formula unit
V	19.2	Å³/atom

The structure in CIF format:
```
data_OsPtCl2
_chemical_formula_sum 'Os2 Pt2 Cl4'
_space_group_name_H-M_alt 'C m m m'
_space_group_IT_number 65
_space_group_name_Hall '-C 2 2'
_cell_length_a 2.806
_cell_length_b 5.223
_cell_length_c 10.473
_cell_angle_alpha 90.00
_cell_angle_beta 90.00
_cell_angle_gamma 90.00
loop_
_atom_site_label
_atom_site_fract_x
_atom_site_fract_y
_atom_site_fract_z
Os1 0.000 0.000 0.000
Pt1 0.000 0.000 0.500
Cl1 0.000 0.500 0.183
```

***

It turns out model R is the most stable, with the second structure 0.176 eV/atom higher.